Density functional theory data (PBE-GGA) for an optimized crystal structure of NpZnPb2.

It has space group P4/mmm (No. 123), with a = 4.742 Å, b = 4.742 Å, c = 4.487 Å, α = 90.00°, β = 90.00° and γ = 90.00°. The asymmetric unit holds Np at (0.000, 0.000, 0.000), Zn at (0.500, 0.500, 0.000) and Pb at (0.000, 0.500, 0.500).

Its density of states at the Fermi level is 11.79 states/eV/cell. The calculated volume comes out at 25.219 A^3/atom. The energy of formation from the pure elements is 0.1305 eV/atom. The size of the total moment comes out at 4.273 μB/cell.

---

Density functional theory data (PBE-GGA) for an optimized crystal structure of NpZn4Pb.

It has space group F-43m (No. 216), with a = 7.839 Å, b = 7.839 Å, c = 7.839 Å, α = 90.00°, β = 90.00° and γ = 90.00°. The asymmetric unit holds Np at (0.000, 0.000, 0.000), Zn at (0.126, 0.126, 0.374) and Pb at (0.250, 0.250, 0.750).

Its density of states at the Fermi level is 39.60 states/eV/cell. The calculated volume comes out at 20.069 A^3/atom. The energy of formation from the pure elements is 0.1691 eV/atom. The size of the total moment comes out at 17.275 μB/cell.

---

Density functional theory data (PBE-GGA) for an optimized crystal structure of ZrNpPb2.

It has space group P4/mmm (No. 123), with a = 4.805 Å, b = 4.805 Å, c = 4.475 Å, α = 90.00°, β = 90.00° and γ = 90.00°. The asymmetric unit holds Zr at (0.000, 0.000, 0.000), Np at (0.500, 0.500, 0.000) and Pb at (0.000, 0.500, 0.500).

Its density of states at the Fermi level is 14.15 states/eV/cell. The calculated volume comes out at 25.829 A^3/atom. The energy of formation from the pure elements is 0.1827 eV/atom. The size of the total moment comes out at 4.695 μB/cell.

---

Density functional theory data (PBE-GGA) for an optimized crystal structure of ZrNpPb.

It has space group P4/nmm (No. 129, origin choice 2), with a = 3.304 Å, b = 3.304 Å, c = 13.323 Å, α = 90.00°, β = 90.00° and γ = 90.00°. The asymmetric unit holds Zr at (0.250, 0.250, 0.205), Np at (0.250, 0.250, 0.960) and Pb at (0.250, 0.250, 0.616).

Its density of states at the Fermi level is 8.90 states/eV/cell. The calculated volume comes out at 24.240 A^3/atom. The energy of formation from the pure elements is 0.0936 eV/atom. The size of the total moment comes out at 0.000 μB/cell.

---

Density functional theory data (PBE-GGA) for an optimized crystal structure of NpPd3.

It has space group P6_3/mmc (No. 194), with a = 5.8484 Å, b = 5.8484 Å, c = 9.6095 Å, α = 90.00°, β = 90.00° and γ = 120.00°. The asymmetric unit holds Np at (0.0000, 0.0000, 0.0000), Np at (0.3333, 0.6667, 0.2500), Pd at (0.0000, 0.5000, 0.0000) and Pd at (0.1723, 0.3446, 0.7500).

Its density of states at the Fermi level is 44.40 states/eV/cell. The calculated volume comes out at 17.791 A^3/atom. The energy of formation from the pure elements is -0.4356 eV/atom. The size of the total moment comes out at 13.540 μB/cell.

---

Density functional theory data (PBE-GGA) for an optimized crystal structure of Np4Pd.

It has space group Pm-3m (No. 221), with a = 5.376 Å, b = 5.376 Å, c = 5.376 Å, α = 90.00°, β = 90.00° and γ = 90.00°. The asymmetric unit holds Np at (0.000, 0.000, 0.000), Np at (0.000, 0.500, 0.500) and Pd at (0.500, 0.500, 0.500).

Its density of states at the Fermi level is 36.51 states/eV/cell. The calculated volume comes out at 31.080 A^3/atom. The energy of formation from the pure elements is 1.2850 eV/atom. The size of the total moment comes out at 9.352 μB/cell.

---

Density functional theory data (PBE-GGA) for an optimized crystal structure of NpPd3.

It has space group Fm-3m (No. 225), with a = 6.628 Å, b = 6.628 Å, c = 6.628 Å, α = 90.00°, β = 90.00° and γ = 90.00°. The asymmetric unit holds Np at (0.000, 0.000, 0.000), Pd at (0.000, 0.000, 0.500) and Pd at (0.250, 0.250, 0.250).

Its density of states at the Fermi level is 39.03 states/eV/cell. The calculated volume comes out at 18.200 A^3/atom. The energy of formation from the pure elements is -0.2736 eV/atom. The size of the total moment comes out at 15.609 μB/cell.

---

Density functional theory data (PBE-GGA) for an optimized crystal structure of NpPd3.

It has space group Pm-3m (No. 221), with a = 4.146 Å, b = 4.146 Å, c = 4.146 Å, α = 90.00°, β = 90.00° and γ = 90.00°. The asymmetric unit holds Np at (0.000, 0.000, 0.000) and Pd at (0.000, 0.500, 0.500).

Its density of states at the Fermi level is 11.09 states/eV/cell. The calculated volume comes out at 17.821 A^3/atom. The energy of formation from the pure elements is -0.4433 eV/atom. The size of the total moment comes out at 3.504 μB/cell.

---

Density functional theory data (PBE-GGA) for an optimized crystal structure of Np2Pd.

It has space group I4/mmm (No. 139), with a = 3.283 Å, b = 3.283 Å, c = 10.171 Å, α = 90.00°, β = 90.00° and γ = 90.00°. The asymmetric unit holds Np at (0.000, 0.000, 0.197) and Pd at (0.000, 0.000, 0.500).

Its density of states at the Fermi level is 15.77 states/eV/cell. The calculated volume comes out at 18.275 A^3/atom. The energy of formation from the pure elements is -0.0154 eV/atom. The size of the total moment comes out at 0.014 μB/cell.

---

Density functional theory data (PBE-GGA) for an optimized crystal structure of NpPd7.

It has space group I4/mmm (No. 139), with a = 4.088 Å, b = 4.088 Å, c = 15.804 Å, α = 90.00°, β = 90.00° and γ = 90.00°. The asymmetric unit holds Np at (0.000, 0.000, 0.000), Pd at (0.000, 0.000, 0.251), Pd at (0.000, 0.000, 0.500) and Pd at (0.000, 0.500, 0.126).

Its density of states at the Fermi level is 28.78 states/eV/cell. The calculated volume comes out at 16.510 A^3/atom. The energy of formation from the pure elements is -0.2645 eV/atom. The size of the total moment comes out at 5.352 μB/cell.

---

Density functional theory data (PBE-GGA) for an optimized crystal structure of NpPd2.

It has space group I4/mmm (No. 139), with a = 3.554 Å, b = 3.554 Å, c = 9.203 Å, α = 90.00°, β = 90.00° and γ = 90.00°. The asymmetric unit holds Np at (0.000, 0.000, 0.000) and Pd at (0.000, 0.000, 0.331).

Its density of states at the Fermi level is 20.97 states/eV/cell. The calculated volume comes out at 19.371 A^3/atom. The energy of formation from the pure elements is -0.1748 eV/atom. The size of the total moment comes out at 7.588 μB/cell.

---

Density functional theory data (PBE-GGA) for an optimized crystal structure of NpPd3.

It has space group I4/mmm (No. 139), with a = 4.151 Å, b = 4.151 Å, c = 8.306 Å, α = 90.00°, β = 90.00° and γ = 90.00°. The asymmetric unit holds Np at (0.000, 0.000, 0.000), Pd at (0.000, 0.000, 0.500) and Pd at (0.000, 0.500, 0.250).

Its density of states at the Fermi level is 26.22 states/eV/cell. The calculated volume comes out at 17.892 A^3/atom. The energy of formation from the pure elements is -0.3501 eV/atom. The size of the total moment comes out at 6.579 μB/cell.

---

Density functional theory data (PBE-GGA) for an optimized crystal structure of NpPd6.

It has space group I4/mmm (No. 139), with a = 6.702 Å, b = 6.702 Å, c = 5.403 Å, α = 90.00°, β = 90.00° and γ = 90.00°. The asymmetric unit holds Np at (0.000, 0.000, 0.000), Pd at (0.000, 0.500, 0.250) and Pd at (0.206, 0.206, 0.500).

Its density of states at the Fermi level is 28.60 states/eV/cell. The calculated volume comes out at 17.336 A^3/atom. The energy of formation from the pure elements is -0.2276 eV/atom. The size of the total moment comes out at 6.958 μB/cell.

---

Density functional theory data (PBE-GGA) for an optimized crystal structure of PmNpPd6.

It has space group P4/mmm (No. 123), with a = 4.157 Å, b = 4.157 Å, c = 8.320 Å, α = 90.00°, β = 90.00° and γ = 90.00°. The asymmetric unit holds Pm at (0.000, 0.000, 0.000), Np at (0.000, 0.000, 0.500), Pd at (0.000, 0.500, 0.257), Pd at (0.500, 0.500, 0.000) and Pd at (0.500, 0.500, 0.500).

Its density of states at the Fermi level is 14.09 states/eV/cell. The calculated volume comes out at 17.968 A^3/atom. The energy of formation from the pure elements is -0.6348 eV/atom. The size of the total moment comes out at 2.993 μB/cell.

---

Density functional theory data (PBE-GGA) for an optimized crystal structure of PmNpPd.

It has space group P2_1/m (No. 11), with a = 4.647 Å, b = 3.665 Å, c = 8.431 Å, α = 90.00°, β = 91.96° and γ = 90.00°. The asymmetric unit holds Pm at (0.248, 0.250, 0.356), Np at (0.172, 0.750, 0.985) and Pd at (0.275, 0.250, 0.721).

Its density of states at the Fermi level is 8.88 states/eV/cell. The calculated volume comes out at 23.915 A^3/atom. The energy of formation from the pure elements is -0.2752 eV/atom. The size of the total moment comes out at 4.590 μB/cell.

---

Density functional theory data (PBE-GGA) for an optimized crystal structure of Pm3NpPd12.

It has space group P4/mmm (No. 123), with a = 4.171 Å, b = 4.171 Å, c = 16.678 Å, α = 90.00°, β = 90.00° and γ = 90.00°. The asymmetric unit holds Pm at (0.000, 0.000, 0.000), Pm at (0.000, 0.000, 0.250), Np at (0.000, 0.000, 0.500), Pd at (0.000, 0.500, 0.126), Pd at (0.000, 0.500, 0.381), Pd at (0.500, 0.500, 0.000), Pd at (0.500, 0.500, 0.253) and Pd at (0.500, 0.500, 0.500).

Its density of states at the Fermi level is 16.41 states/eV/cell. The calculated volume comes out at 18.137 A^3/atom. The energy of formation from the pure elements is -0.7171 eV/atom. The size of the total moment comes out at 2.813 μB/cell.

---

Density functional theory data (PBE-GGA) for an optimized crystal structure of PmNpPd2.

It has space group P4/mmm (No. 123), with a = 5.107 Å, b = 5.107 Å, c = 3.424 Å, α = 90.00°, β = 90.00° and γ = 90.00°. The asymmetric unit holds Pm at (0.000, 0.000, 0.000), Np at (0.500, 0.500, 0.000) and Pd at (0.000, 0.500, 0.500).

Its density of states at the Fermi level is 9.76 states/eV/cell. The calculated volume comes out at 22.325 A^3/atom. The energy of formation from the pure elements is -0.3744 eV/atom. The size of the total moment comes out at 4.385 μB/cell.

---

Density functional theory data (PBE-GGA) for an optimized crystal structure of PmNpPdPt.

It has space group F-43m (No. 216), with a = 7.095 Å, b = 7.095 Å, c = 7.095 Å, α = 90.00°, β = 90.00° and γ = 90.00°. The asymmetric unit holds Pm at (0.000, 0.000, 0.000), Np at (0.000, 0.000, 0.500), Pd at (0.250, 0.250, 0.250) and Pt at (0.250, 0.250, 0.750).

Its density of states at the Fermi level is 46.18 states/eV/cell. The calculated volume comes out at 22.318 A^3/atom. The energy of formation from the pure elements is -0.5324 eV/atom. The size of the total moment comes out at 17.759 μB/cell.

---

Density functional theory data (PBE-GGA) for an optimized crystal structure of Pm2NpPdS5.

It has space group Cmc2_1 (No. 36), with a = 3.902 Å, b = 16.664 Å, c = 11.849 Å, α = 90.00°, β = 90.00° and γ = 90.00°. The asymmetric unit holds Pm at (0.000, 0.110, 0.000), Pm at (0.000, 0.120, 0.625), Np at (0.000, 0.194, 0.322), Pd at (0.000, 0.446, 0.753), S at (0.000, 0.042, 0.369), S at (0.000, 0.293, 0.982), S at (0.000, 0.307, 0.659), S at (0.000, 0.357, 0.315) and S at (0.000, 0.495, 0.070).

Its density of states at the Fermi level is 39.82 states/eV/cell. The calculated volume comes out at 21.403 A^3/atom. The size of the total moment comes out at 12.725 μB/cell. The calculation puts the uncorrected formation energy at -1.51 eV/atom.

---

Density functional theory data (PBE-GGA) for an optimized crystal structure of PmNpSbPd.

It has space group F-43m (No. 216), with a = 7.277 Å, b = 7.277 Å, c = 7.277 Å, α = 90.00°, β = 90.00° and γ = 90.00°. The asymmetric unit holds Pm at (0.000, 0.000, 0.000), Np at (0.250, 0.250, 0.750), Sb at (0.000, 0.000, 0.500) and Pd at (0.250, 0.250, 0.250).

Its density of states at the Fermi level is 56.54 states/eV/cell. The calculated volume comes out at 24.082 A^3/atom. The size of the total moment comes out at 23.253 μB/cell. The calculation puts the uncorrected formation energy at 0.00 eV/atom.